Record 1
{"formula": "Co3P6WO24", "functional": "SCAN", "state": "single point on PBEsol structure", "m_tot_mub_per_fu": 3.03, "total_energy_ev_per_atom": -11.77, "lattice_angstrom": [[4.041, 2.333, 7.122], [-4.041, 2.333, 7.122], [0.000, -4.667, 7.122]], "species": ["Co", "Co", "Co", "P", "P", "P", "P", "P", "P", "W", "O", "O", "O", "O", "O", "O", "O", "O", "O", "O", "O", "O", "O", "O", "O", "O", "O", "O", "O", "O", "O", "O", "O", "O"], "frac_coords": [[0.000, 0.000, 0.000], [0.213, 0.213, 0.213], [0.704, 0.704, 0.704], [0.087, 0.836, 0.379], [0.320, 0.603, 0.898], [0.379, 0.087, 0.836], [0.603, 0.898, 0.320], [0.836, 0.379, 0.087], [0.898, 0.320, 0.603], [0.491, 0.491, 0.491], [0.105, 0.238, 0.458], [0.134, 0.836, 0.176], [0.153, 0.981, 0.361], [0.169, 0.819, 0.863], [0.176, 0.134, 0.836], [0.238, 0.458, 0.105], [0.241, 0.622, 0.458], [0.352, 0.546, 0.732], [0.361, 0.153, 0.981], [0.458, 0.105, 0.238], [0.458, 0.241, 0.622], [0.531, 0.564, 0.874], [0.533, 0.874, 0.856], [0.546, 0.732, 0.352], [0.564, 0.874, 0.531], [0.622, 0.458, 0.241], [0.732, 0.352, 0.546], [0.819, 0.863, 0.169], [0.836, 0.176, 0.134], [0.856, 0.533, 0.874], [0.863, 0.169, 0.819], [0.874, 0.531, 0.564], [0.874, 0.856, 0.533], [0.981, 0.361, 0.153]]}

***

Record 2
{"formula": "Tm2NiIr", "functional": "SCAN", "state": "single point on PBEsol structure", "m_tot_mub_per_fu": 0.00, "formation_energy_ev_per_atom": -0.858, "total_energy_ev_per_atom": -48.59, "lattice_angstrom": [[0.000, 3.306, 3.306], [3.306, 0.000, 3.306], [3.306, 3.306, 0.000]], "species": ["Tm", "Tm", "Ni", "Ir"], "frac_coords": [[0.250, 0.250, 0.250], [0.750, 0.750, 0.750], [0.000, 0.000, 0.000], [0.500, 0.500, 0.500]]}

***

Record 3
{"formula": "LiAs2PdBr", "functional": "SCAN", "state": "single point on PBEsol structure", "m_tot_mub_per_fu": 0.34, "total_energy_ev_per_atom": -19.00, "lattice_angstrom": [[4.592, 0.000, 0.000], [0.000, 4.592, 0.000], [0.000, 0.000, 6.973]], "species": ["Li", "As", "As", "Pd", "Br"], "frac_coords": [[0.000, 0.000, 0.000], [0.000, 0.500, 0.500], [0.500, 0.000, 0.500], [0.500, 0.500, 0.500], [0.500, 0.500, 0.000]]}

***

Record 4
{"formula": "CsTeOsN2", "functional": "SCAN", "state": "single point on PBEsol structure", "m_tot_mub_per_fu": 4.24, "total_energy_ev_per_atom": -29.96, "lattice_angstrom": [[4.104, 0.000, 0.000], [0.000, 4.104, 0.000], [0.000, 0.000, 6.884]], "species": ["Cs", "Te", "Os", "N", "N"], "frac_coords": [[0.000, 0.000, 0.000], [0.000, 0.000, 0.500], [0.500, 0.500, 0.500], [0.000, 0.500, 0.000], [0.500, 0.000, 0.000]]}

***

Record 5
{"formula": "Zr2InCo", "functional": "SCAN", "state": "single point on PBEsol structure", "m_tot_mub_per_fu": 1.19, "formation_energy_ev_per_atom": -0.363, "total_energy_ev_per_atom": -28.39, "lattice_angstrom": [[3.030, 0.000, 0.000], [0.000, 3.030, 0.000], [-0.013, 0.000, 8.015]], "species": ["Zr", "Zr", "In", "Co"], "frac_coords": [[0.001, 0.000, 0.293], [0.999, 0.000, 0.707], [0.500, 0.500, 0.000], [0.500, 0.500, 0.500]]}

***

Record 6
{"formula": "BaRe2Cl", "functional": "SCAN", "state": "single point on PBEsol structure", "m_tot_mub_per_fu": 0.00, "de_polymorph_ev_per_atom": 0.0000, "total_energy_ev_per_atom": -46.77, "lattice_angstrom": [[-1.554, 2.223, 6.468], [1.554, -2.223, 6.468], [1.554, 2.223, -6.468]], "species": ["Ba", "Re", "Re", "Cl"], "frac_coords": [[0.000, 0.000, 0.000], [0.257, 0.757, 0.500], [0.743, 0.243, 0.500], [0.500, 0.500, 0.000]]}

***

Record 7
{"formula": "LiY2Cd", "functional": "SCAN", "state": "single point on PBEsol structure", "m_tot_mub_per_fu": 0.11, "formation_energy_ev_per_atom": -0.153, "de_polymorph_ev_per_atom": 0.0807, "total_energy_ev_per_atom": -22.28, "lattice_angstrom": [[4.900, 0.000, 0.000], [0.000, 1.675, 6.037], [0.000, -1.675, 6.037]], "species": ["Li", "Y", "Y", "Cd"], "frac_coords": [[0.000, 0.000, 0.000], [0.000, 0.728, 0.728], [0.500, 0.402, 0.402], [0.500, 0.129, 0.129]]}

***

Record 8
{"formula": "LiLaPb2", "functional": "SCAN", "state": "single point on PBEsol structure", "m_tot_mub_per_fu": 0.24, "formation_energy_ev_per_atom": -0.584, "total_energy_ev_per_atom": -49.85, "lattice_angstrom": [[3.654, 0.000, 0.000], [0.000, 3.654, 0.000], [0.000, 0.000, 7.730]], "species": ["Li", "La", "Pb", "Pb"], "frac_coords": [[0.000, 0.000, 0.000], [0.000, 0.000, 0.500], [0.500, 0.500, 0.210], [0.500, 0.500, 0.790]]}

***

Record 9
{"formula": "Li2MnTe", "functional": "SCAN", "state": "single point on PBEsol structure", "m_tot_mub_per_fu": 4.32, "total_energy_ev_per_atom": -15.13, "lattice_angstrom": [[1.586, 0.916, 9.105], [-1.586, 0.916, 9.105], [0.000, -1.832, 9.105]], "species": ["Li", "Li", "Mn", "Te"], "frac_coords": [[0.249, 0.249, 0.249], [0.751, 0.751, 0.751], [0.000, 0.000, 0.000], [0.500, 0.500, 0.500]]}

***

Record 10
{"formula": "MgMo2Os", "functional": "SCAN", "state": "single point on PBEsol structure", "m_tot_mub_per_fu": 0.00, "formation_energy_ev_per_atom": 0.070, "total_energy_ev_per_atom": -36.59, "lattice_angstrom": [[-1.542, 2.166, 4.513], [1.542, -2.166, 4.513], [1.542, 2.166, -4.513]], "species": ["Mg", "Mo", "Mo", "Os"], "frac_coords": [[0.000, 0.000, 0.000], [0.262, 0.762, 0.500], [0.738, 0.238, 0.500], [0.500, 0.500, 0.000]]}

***

Record 11
{"formula": "Mg2TaPbAu", "functional": "SCAN", "state": "single point on PBEsol structure", "m_tot_mub_per_fu": 2.86, "formation_energy_ev_per_atom": 0.816, "total_energy_ev_per_atom": -43.48, "lattice_angstrom": [[4.842, 0.000, 0.000], [0.000, 4.842, 0.000], [0.000, 0.000, 5.428]], "species": ["Mg", "Mg", "Ta", "Pb", "Au"], "frac_coords": [[0.000, 0.500, 0.000], [0.500, 0.000, 0.000], [0.000, 0.000, 0.500], [0.500, 0.500, 0.500], [0.500, 0.500, 0.000]]}

***

Record 12
{"formula": "CsTaS2Cl", "functional": "SCAN", "state": "single point on PBEsol structure", "m_tot_mub_per_fu": 2.68, "total_energy_ev_per_atom": -24.66, "lattice_angstrom": [[5.321, 0.000, 0.000], [0.000, 5.321, 0.000], [0.000, 0.000, 5.683]], "species": ["Cs", "Ta", "S", "S", "Cl"], "frac_coords": [[0.000, 0.000, 0.000], [0.500, 0.500, 0.500], [0.000, 0.500, 0.000], [0.500, 0.000, 0.000], [0.000, 0.000, 0.500]]}

***

Record 13
{"formula": "NaSc3Pb", "functional": "SCAN", "state": "single point on PBEsol structure", "m_tot_mub_per_fu": 2.12, "formation_energy_ev_per_atom": 0.749, "total_energy_ev_per_atom": -23.79, "lattice_angstrom": [[5.059, 0.000, 0.000], [0.000, 5.059, 0.000], [0.000, 0.000, 5.059]], "species": ["Na", "Sc", "Sc", "Sc", "Pb"], "frac_coords": [[0.000, 0.000, 0.000], [0.000, 0.000, 0.500], [0.000, 0.500, 0.000], [0.500, 0.000, 0.000], [0.500, 0.500, 0.500]]}

***

Record 14
{"formula": "LiScPt2", "functional": "SCAN", "state": "single point on PBEsol structure", "m_tot_mub_per_fu": 0.00, "formation_energy_ev_per_atom": -1.031, "de_polymorph_ev_per_atom": 0.1248, "total_energy_ev_per_atom": -40.28, "lattice_angstrom": [[-1.915, 1.915, 4.154], [1.915, -1.915, 4.154], [1.915, 1.915, -4.154]], "species": ["Li", "Sc", "Pt", "Pt"], "frac_coords": [[0.000, 0.000, 0.000], [0.250, 0.750, 0.500], [0.500, 0.500, 0.000], [0.750, 0.250, 0.500]]}

***

Record 15
{"formula": "AlCuHg2", "functional": "SCAN", "state": "single point on PBEsol structure", "m_tot_mub_per_fu": 0.00, "formation_energy_ev_per_atom": 0.181, "total_energy_ev_per_atom": -39.64, "lattice_angstrom": [[3.197, 0.000, 0.000], [0.000, 3.861, 0.000], [0.000, 0.000, 5.703]], "species": ["Al", "Cu", "Hg", "Hg"], "frac_coords": [[0.000, 0.000, 0.000], [0.000, 0.000, 0.500], [0.500, 0.500, 0.256], [0.500, 0.500, 0.744]]}

***

Record 16
{"formula": "ZrIrCl2", "functional": "SCAN", "state": "single point on PBEsol structure", "m_tot_mub_per_fu": 1.31, "de_polymorph_ev_per_atom": 0.2915, "total_energy_ev_per_atom": -29.37, "lattice_angstrom": [[-2.056, 2.056, 3.985], [2.056, -2.056, 3.985], [2.056, 2.056, -3.985]], "species": ["Zr", "Ir", "Cl", "Cl"], "frac_coords": [[0.000, 0.000, 0.000], [0.500, 0.500, 0.000], [0.250, 0.750, 0.500], [0.750, 0.250, 0.500]]}

***

Record 17
{"formula": "Tl2OsRu", "functional": "SCAN", "state": "single point on PBEsol structure", "m_tot_mub_per_fu": 0.00, "formation_energy_ev_per_atom": 0.989, "de_polymorph_ev_per_atom": 0.2535, "total_energy_ev_per_atom": -61.87, "lattice_angstrom": [[4.665, 0.000, 0.000], [0.000, 3.062, 0.000], [-2.019, 0.000, 4.916]], "species": ["Tl", "Tl", "Os", "Ru"], "frac_coords": [[0.000, 0.000, 0.000], [0.000, 0.500, 0.500], [0.500, 0.000, 0.500], [0.500, 0.500, 0.000]]}

***

Record 18
{"formula": "Ba2CoCu", "functional": "SCAN", "state": "single point on PBEsol structure", "m_tot_mub_per_fu": 1.87, "formation_energy_ev_per_atom": 0.404, "de_polymorph_ev_per_atom": 0.0000, "total_energy_ev_per_atom": -27.50, "lattice_angstrom": [[3.495, 0.000, 0.000], [0.000, 3.495, 0.000], [0.000, 0.000, 8.911]], "species": ["Ba", "Ba", "Co", "Cu"], "frac_coords": [[0.000, 0.000, 0.000], [0.500, 0.500, 0.441], [0.000, 0.000, 0.694], [0.500, 0.500, 0.760]]}

***

Record 19
{"formula": "KTi3Zn", "functional": "SCAN", "state": "single point on PBEsol structure", "m_tot_mub_per_fu": 2.63, "formation_energy_ev_per_atom": 1.916, "de_polymorph_ev_per_atom": 0.8843, "total_energy_ev_per_atom": -12.07, "lattice_angstrom": [[4.412, 0.000, 0.000], [0.000, 4.412, 0.000], [0.000, 0.000, 4.412]], "species": ["K", "Ti", "Ti", "Ti", "Zn"], "frac_coords": [[0.000, 0.000, 0.000], [0.000, 0.000, 0.500], [0.000, 0.500, 0.000], [0.500, 0.000, 0.000], [0.500, 0.500, 0.500]]}

***

Record 20
{"formula": "ScAgGe", "functional": "SCAN", "state": "single point on PBEsol structure", "m_tot_mub_per_fu": 0.00, "formation_energy_ev_per_atom": -0.659, "total_energy_ev_per_atom": -22.22, "lattice_angstrom": [[6.803, 0.000, 0.000], [-3.402, 5.892, 0.000], [0.000, 0.000, 3.998]], "species": ["Sc", "Sc", "Sc", "Ag", "Ag", "Ag", "Ge", "Ge", "Ge"], "frac_coords": [[0.000, 0.419, 0.000], [0.419, 0.000, 0.000], [0.581, 0.581, 0.000], [0.000, 0.747, 0.500], [0.253, 0.253, 0.500], [0.747, 0.000, 0.500], [0.000, 0.000, 0.000], [0.333, 0.667, 0.500], [0.667, 0.333, 0.500]]}

***

Record 21
{"formula": "TlAsP2Pb", "functional": "SCAN", "state": "single point on PBEsol structure", "m_tot_mub_per_fu": 0.01, "formation_energy_ev_per_atom": 1.125, "total_energy_ev_per_atom": -36.70, "lattice_angstrom": [[5.181, 0.000, 0.000], [0.000, 5.181, 0.000], [0.000, 0.000, 5.360]], "species": ["Tl", "As", "P", "P", "Pb"], "frac_coords": [[0.000, 0.000, 0.000], [0.500, 0.500, 0.000], [0.000, 0.500, 0.500], [0.500, 0.000, 0.500], [0.500, 0.500, 0.500]]}

***

Record 22
{"formula": "MgCd2Hg2", "functional": "SCAN", "state": "single point on PBEsol structure", "m_tot_mub_per_fu": 0.00, "formation_energy_ev_per_atom": -0.061, "total_energy_ev_per_atom": -40.49, "lattice_angstrom": [[7.649, 0.000, 0.000], [0.000, 7.649, 0.000], [0.000, 0.000, 3.887]], "species": ["Mg", "Mg", "Cd", "Cd", "Cd", "Cd", "Hg", "Hg", "Hg", "Hg"], "frac_coords": [[0.000, 0.000, 0.000], [0.500, 0.500, 0.000], [0.153, 0.347, 0.500], [0.347, 0.847, 0.500], [0.653, 0.153, 0.500], [0.847, 0.653, 0.500], [0.148, 0.648, 0.000], [0.352, 0.148, 0.000], [0.648, 0.852, 0.000], [0.852, 0.352, 0.000]]}

***

Record 23
{"formula": "KCaY", "functional": "SCAN", "state": "single point on PBEsol structure", "m_tot_mub_per_fu": 1.36, "formation_energy_ev_per_atom": 0.264, "de_polymorph_ev_per_atom": 0.0000, "total_energy_ev_per_atom": -15.01, "lattice_angstrom": [[3.753, 0.000, 0.000], [-1.876, 3.250, 0.000], [0.000, 0.000, 10.132]], "species": ["K", "Ca", "Y"], "frac_coords": [[0.000, 0.000, 0.000], [0.667, 0.333, 0.367], [0.333, 0.667, 0.653]]}

***

Record 24
{"formula": "LiZrIr2", "functional": "SCAN", "state": "single point on PBEsol structure", "m_tot_mub_per_fu": 0.00, "formation_energy_ev_per_atom": -0.729, "de_polymorph_ev_per_atom": 0.0000, "total_energy_ev_per_atom": -44.55, "lattice_angstrom": [[0.000, 3.108, 3.108], [3.108, 0.000, 3.108], [3.108, 3.108, 0.000]], "species": ["Li", "Zr", "Ir", "Ir"], "frac_coords": [[0.000, 0.000, 0.000], [0.500, 0.500, 0.500], [0.250, 0.250, 0.250], [0.750, 0.750, 0.750]]}

***

Record 25
{"formula": "TlHgBr3", "functional": "SCAN", "state": "single point on PBEsol structure", "m_tot_mub_per_fu": 0.00, "total_energy_ev_per_atom": -40.33, "lattice_angstrom": [[5.456, 0.000, 0.000], [0.000, 5.456, 0.000], [0.000, 0.000, 5.456]], "species": ["Tl", "Hg", "Br", "Br", "Br"], "frac_coords": [[0.000, 0.000, 0.000], [0.500, 0.500, 0.500], [0.000, 0.500, 0.500], [0.500, 0.000, 0.500], [0.500, 0.500, 0.000]]}

***

Record 26
{"formula": "NbAlTe2Rh", "functional": "SCAN", "state": "single point on PBEsol structure", "m_tot_mub_per_fu": 2.20, "total_energy_ev_per_atom": -29.17, "lattice_angstrom": [[5.158, 0.000, 0.000], [0.000, 5.158, 0.000], [0.000, 0.000, 4.815]], "species": ["Nb", "Al", "Te", "Te", "Rh"], "frac_coords": [[0.000, 0.000, 0.000], [0.500, 0.500, 0.000], [0.000, 0.500, 0.500], [0.500, 0.000, 0.500], [0.000, 0.000, 0.500]]}

***

Record 27
{"formula": "MnTeP2", "functional": "SCAN", "state": "single point on PBEsol structure", "m_tot_mub_per_fu": 2.11, "total_energy_ev_per_atom": -18.87, "lattice_angstrom": [[3.054, 0.000, 0.000], [0.000, 3.054, 0.000], [0.000, 0.000, 6.930]], "species": ["Mn", "Te", "P", "P"], "frac_coords": [[0.000, 0.000, 0.000], [0.500, 0.500, 0.755], [0.000, 0.000, 0.340], [0.500, 0.500, 0.173]]}

***

Record 28
{"formula": "SrScRh", "functional": "SCAN", "state": "single point on PBEsol structure", "m_tot_mub_per_fu": 0.00, "formation_energy_ev_per_atom": -0.261, "de_polymorph_ev_per_atom": 0.0000, "total_energy_ev_per_atom": -23.69, "lattice_angstrom": [[0.000, 3.353, 3.353], [3.353, 0.000, 3.353], [3.353, 3.353, 0.000]], "species": ["Sr", "Sc", "Rh"], "frac_coords": [[0.000, 0.000, 0.000], [0.500, 0.500, 0.500], [0.750, 0.750, 0.750]]}